[1]
Entry from OQMD: a geometry-optimized BPOsO structure (PBE).

Output
**Electronic total energy**: -59.89 eV per cell

Geometry as POSCAR:
```
BPOsO
1.0
2.639 0.000 0.000
0.000 6.431 0.000
0.000 0.000 5.421
O Os P B
2 2 2 2
Cartesian
1.320 1.928 5.013 O
1.320 4.503 2.302 O
1.320 6.175 5.018 Os
1.320 0.256 2.308 Os
0.000 2.090 2.068 P
0.000 4.341 4.779 P
0.000 3.934 2.830 B
0.000 2.498 0.119 B
```

---

[2]
Entry from OQMD: a geometry-optimized TbPrIn2Pt4 structure (PBE).

Output
**Electronic total energy**: -46.54 eV per cell

Geometry as POSCAR:
```
TbPrIn2Pt4
1.0
-4.464 1.162 0.251
2.273 -1.272 3.815
2.364 8.759 1.511
In Pt Tb Pr
2 4 1 1
Cartesian
0.632 1.777 3.013 In
1.788 6.061 3.752 In
0.817 3.027 0.522 Pt
1.547 5.732 0.989 Pt
-1.822 1.817 1.692 Pt
-0.250 7.643 2.696 Pt
-1.036 4.730 2.194 Tb
0.000 0.000 0.000 Pr
```

---

[3]
Entry from OQMD: a geometry-optimized RbOsAuS3 structure (PBE).

Output
**Electronic total energy**: -57.90 eV per cell

Geometry as POSCAR:
```
RbOsAuS3
1.0
8.744 -1.915 0.000
8.744 1.915 0.000
0.000 0.000 9.005
S Au Os Rb
6 2 2 2
Cartesian
8.891 0.000 2.251 S
8.597 0.000 6.754 S
1.612 0.000 4.482 S
1.612 0.000 0.021 S
15.876 0.000 8.984 S
15.876 0.000 4.524 S
2.126 0.000 6.754 Au
15.362 0.000 2.251 Au
8.744 0.000 4.503 Os
8.744 0.000 0.000 Os
3.885 0.000 2.251 Rb
13.604 0.000 6.754 Rb
```

---

[4]
Entry from OQMD: a geometry-optimized Na2Ge2Pt structure (PBE).

Output
**Electronic total energy**: -39.42 eV per cell

Geometry as POSCAR:
```
Na2Ge2Pt
1.0
6.459 0.000 0.000
0.000 6.459 0.000
0.000 0.000 4.942
Na Ge Pt
4 4 2
Cartesian
1.168 4.397 2.471 Na
2.062 1.168 2.471 Na
5.291 2.062 2.471 Na
4.397 5.291 2.471 Na
4.103 0.873 0.000 Ge
2.356 5.585 0.000 Ge
0.873 2.356 0.000 Ge
5.585 4.103 0.000 Ge
0.000 0.000 0.000 Pt
3.229 3.229 0.000 Pt
```